a:
Entry from the Alexandria database: a relaxed structure of TeHPdRuI (PBE).

## Properties
**D(E_F)**: 2.2 states/eV per cell
**Mass density**: 6.84 g/cm3

Lattice parameters (Å, degrees): 4.143 4.143 7.652 108.70 108.70 68.05
Element x y z (fractional)
Te  0.000  0.000  0.000
H  0.435  0.435  0.155
Pd  0.621  0.621  0.719
Ru  0.327  0.327  0.929
I  0.170  0.170  0.520


b:
Entry from the Alexandria database: a relaxed structure of TeHPdRuI (PBE).

## Properties
**D(E_F)**: 2.8 states/eV per cell
**Mass density**: 7.68 g/cm3

Lattice parameters (Å, degrees): 3.317 3.582 8.584 89.78 78.98 90.00
Element x y z (fractional)
Te  0.000  0.000  0.000
H  0.344  0.250  0.316
Pd  0.832  0.006  0.339
Ru  0.432  0.492  0.137
I  0.709  0.520  0.589


In meV/atom, relative to the most stable structure: a 0; b 67.


a:
Entry from the Alexandria database: a relaxed structure of TeHPdRuI (PBE).

## Properties
**D(E_F)**: 3.5 states/eV per cell
**Mass density**: 7.68 g/cm3

Lattice parameters (Å, degrees): 4.731 4.731 6.914 108.01 108.01 43.33
Element x y z (fractional)
Te  0.000  0.000  0.000
H  0.764  0.764  0.121
Pd  0.740  0.740  0.690
Ru  0.303  0.303  0.070
I  0.407  0.407  0.483


b:
Entry from the Alexandria database: a relaxed structure of TeHPdRuI (PBE).

## Properties
**D(E_F)**: 1.7 states/eV per cell
**Mass density**: 7.05 g/cm3

Lattice parameters (Å, degrees): 4.070 4.355 7.010 87.42 73.69 66.52
Element x y z (fractional)
Te  0.000  0.000  0.000
H  0.729  0.662  0.806
Pd  0.010  0.276  0.668
Ru  0.629  0.639  0.059
I  0.423  0.669  0.462


c:
Entry from the Alexandria database: a relaxed structure of TeHPdRuI (PBE).

## Properties
**D(E_F)**: 2.9 states/eV per cell
**Mass density**: 7.64 g/cm3

Lattice parameters (Å, degrees): 3.636 3.670 7.705 90.00 101.87 90.00
Element x y z (fractional)
Te  0.000  0.000  0.000
H  0.533  0.500  0.077
Pd  0.848  0.000  0.651
Ru  0.440  0.500  0.863
I  0.280  0.500  0.493


In meV/atom, relative to the most stable structure: a 94; b 0; c 50.


a:
Entry from the Alexandria database: a relaxed structure of TeHPdRuI (PBE).

## Properties
**D(E_F)**: 2.6 states/eV per cell
**Mass density**: 7.77 g/cm3

Lattice parameters (Å, degrees): 3.380 4.656 6.976 89.55 76.13 68.80
Element x y z (fractional)
Te  0.000  0.000  0.000
H  0.972  0.770  0.305
Pd  0.831  0.526  0.817
Ru  0.196  0.459  0.153
I  0.576  0.374  0.481


b:
Entry from the Alexandria database: a relaxed structure of TeHPdRuI (PBE).

## Properties
**D(E_F)**: 2.5 states/eV per cell
**Mass density**: 7.11 g/cm3

Lattice parameters (Å, degrees): 4.088 4.088 7.715 105.08 105.08 61.62
Element x y z (fractional)
Te  0.000  0.000  0.000
H  0.681  0.681  0.322
Pd  0.427  0.427  0.334
Ru  0.697  0.697  0.114
I  0.162  0.162  0.547


In meV/atom, relative to the most stable structure: a 114; b 0.


a:
Entry from the Alexandria database: a relaxed structure of TcHPd2I (PBE).

## Properties
**D(E_F)**: 4.8 states/eV per cell
**Mass density**: 5.87 g/cm3

Lattice parameters (Å, degrees): 4.892 4.892 5.183 90.00 90.00 90.00
Element x y z (fractional)
Tc  0.000  0.000  0.000
H  0.500  0.500  0.500
Pd  0.000  0.500  0.000
Pd  0.500  0.000  0.000
I  0.000  0.000  0.500


b:
Entry from the Alexandria database: a relaxed structure of TcHPd2I (PBE).

## Properties
**D(E_F)**: 6.4 states/eV per cell
**Mass density**: 8.24 g/cm3

Lattice parameters (Å, degrees): 5.015 5.015 3.517 90.00 90.00 90.00
Element x y z (fractional)
Tc  0.000  0.000  0.000
H  0.000  0.000  0.500
Pd  0.000  0.500  0.000
Pd  0.500  0.000  0.000
I  0.500  0.500  0.500


In meV/atom, relative to the most stable structure: a 514; b 0.


a:
Entry from the Alexandria database: a relaxed structure of PmH2I (PBE).

## Properties
**D(E_F)**: 1.3 states/eV per cell
**Mass density**: 6.27 g/cm3

Lattice parameters (Å, degrees): 3.292 3.292 6.697 90.00 90.00 90.00
Element x y z (fractional)
Pm  0.000  0.000  0.000
H  0.500  0.500  0.147
H  0.500  0.500  0.853
I  0.000  0.000  0.500


b:
Entry from the Alexandria database: a relaxed structure of PmH2I (PBE).

## Properties
**D(E_F)**: 0.0 states/eV per cell
**Mass density**: 5.79 g/cm3

Lattice parameters (Å, degrees): 3.971 3.971 11.503 90.00 90.00 120.00
Element x y z (fractional)
Pm  0.333  0.667  0.357
Pm  0.667  0.333  0.643
H  0.000  0.000  0.370
H  0.000  0.000  0.630
H  0.333  0.667  0.559
H  0.667  0.333  0.441
I  0.333  0.667  0.835
I  0.667  0.333  0.165


c:
Entry from the Alexandria database: a relaxed structure of PmH2I (PBE).

## Properties
**Mass density**: 6.51 g/cm3

Lattice parameters (Å, degrees): 5.706 5.706 5.706 40.24 40.24 40.24
Element x y z (fractional)
Pm  0.000  0.000  0.000
H  0.308  0.308  0.308
H  0.692  0.692  0.692
I  0.500  0.500  0.500


In meV/atom, relative to the most stable structure: a 726; b 0; c 116.


a:
Entry from the Alexandria database: a relaxed structure of Pm2HI3 (PBE).

## Properties
**D(E_F)**: 4.8 states/eV per cell
**Mass density**: 5.37 g/cm3

Lattice parameters (Å, degrees): 9.953 9.953 12.317 121.55 121.55 23.77
Element x y z (fractional)
Pm  0.069  0.069  0.462
Pm  0.365  0.365  0.211
Pm  0.635  0.635  0.789
Pm  0.931  0.931  0.538
H  0.076  0.076  0.662
H  0.924  0.924  0.338
I  0.165  0.165  0.010
I  0.286  0.286  0.379
I  0.462  0.462  0.757
I  0.538  0.538  0.243
I  0.714  0.714  0.621
I  0.835  0.835  0.990


b:
Entry from the Alexandria database: a relaxed structure of Pm2HI3 (PBE).

## Properties
**D(E_F)**: 6.2 states/eV per cell
**Mass density**: 4.94 g/cm3

Lattice parameters (Å, degrees): 10.180 10.180 11.660 108.91 108.91 23.33
Element x y z (fractional)
Pm  0.079  0.079  0.473
Pm  0.418  0.418  0.243
Pm  0.582  0.582  0.757
Pm  0.921  0.921  0.527
H  0.045  0.045  0.646
H  0.955  0.955  0.354
I  0.140  0.140  0.964
I  0.303  0.303  0.371
I  0.421  0.421  0.737
I  0.579  0.579  0.263
I  0.697  0.697  0.629
I  0.860  0.860  0.036


In meV/atom, relative to the most stable structure: a 0; b 6.